Compound: Sb2Se2I
Source: the Alexandria database
Functional: PBE
Structure: optimized geometry

Output
formation energy without anion corrections	-0.095	eV/atom
DOS at the Fermi energy	4.0	states/eV/cell
size of the total moment	0.0	Bohr magnetons per cell
offset from the most stable computed form	114.9	meV per atom
energy	-3.45	eV/atom

Cell lengths 9.0949, 9.0949, 3.8980 Å; angles 90.00, 90.00, 90.00 degrees
Element x y z (fractional)
I1 0.0000 0.0000 0.0000
I2 0.5000 0.5000 0.0000
Sb1 0.2759 0.7759 0.0000
Sb2 0.7759 0.7241 0.0000
Sb3 0.7241 0.2241 0.0000
Sb4 0.2241 0.2759 0.0000
Se1 0.1367 0.6367 0.5000
Se2 0.6367 0.8633 0.5000
Se3 0.8633 0.3633 0.5000
Se4 0.3633 0.1367 0.5000